(1)
DFT (GGA-PBE) results for a geometry-optimized Ca3Al4Pd4 structure.

extended XYZ file:
```
11
Lattice="6.7252 0.0000 0.0000 -2.2417 6.3406 0.0000 -2.2417 -3.1703 5.4911" Properties=species:S:1:pos:R:3 pbc="T T T"
Al 1.6605 2.3484 4.0675
Al -0.5812 1.6439 0.0000
Pd -1.3967 3.9504 0.0000
Ca 2.2417 -1.5851 2.7456
Al -0.5812 -0.8219 1.4236
Pd -1.3967 -1.9752 3.4211
Ca -2.2417 1.5851 2.7456
Al 1.7436 0.0000 0.0000
Pd 0.8451 1.1951 2.0700
Ca 2.2417 3.1703 0.0000
Pd 4.1900 0.0000 0.0000
```

Results
Its symmetry is No. 217. As for the total magnetization: 0.00 μB per cell. For the formation energy, the calculation gives -712 meV per atom. The calculation puts the energy at -49.58 eV per cell. Its polymorph energy (0 for the lowest one) is 22 meV/atom.


(2)
DFT (GGA-PBE) results for a geometry-optimized Sn2TeBr structure.

extended XYZ file:
```
16
Lattice="-2.6817 -0.4265 8.6045 2.6661 -6.3517 -1.5525 7.6087 5.9693 -1.0292" Properties=species:S:1:pos:R:3 pbc="T T T"
Te 0.8003 0.6345 7.3769
Sn 6.0208 0.3165 6.1405
Sn 1.6360 -4.8003 3.4860
Br 0.3911 -3.1327 6.0284
Sn 1.5723 -1.1254 -0.1177
Br 7.2020 2.3238 -0.0056
Br 3.6605 -2.2648 2.3597
Sn 4.8640 -3.8530 -0.2958
Sn 5.9571 3.9914 2.5368
Te 7.3381 -1.0164 3.5677
Te 6.7928 -1.4434 -1.3541
Te 0.2550 0.2075 2.4551
Sn 2.7291 3.0441 6.3186
Sn 2.1170 -0.7920 4.9034
Br 3.9326 1.4559 3.6632
Sn 5.4761 -0.0169 1.1194
```

Results
Its formation energy from raw total energies is -0.2485 eV/atom. Its symmetry is No. 15. As for the total magnetization: 0.00 μB per cell. The calculation puts the energy at -55.26 eV per cell. Its polymorph energy (0 for the lowest one) is 0 meV/atom.


(3)
DFT (GGA-PBE) results for a geometry-optimized TiMoRh4 structure.

extended XYZ file:
```
12
Lattice="-3.0040 3.7604 -3.3648 -4.7313 -3.4726 0.3420 -1.7706 2.8856 4.8056" Properties=species:S:1:pos:R:3 pbc="T T T"
Rh -1.6311 2.3763 1.5674
Rh -4.6244 1.0912 -2.3591
Ti -2.5103 1.2954 3.6886
Ti -3.9915 -1.8824 1.4590
Mo -6.3788 1.4406 2.1793
Rh -4.8815 2.0822 4.1418
Rh -4.0294 5.7131 2.2755
Mo -3.1271 1.7329 -0.3965
Rh -3.9967 0.6401 1.7385
Rh -0.7453 0.9329 -0.8347
Rh -5.5092 2.5334 0.0443
Rh -7.8748 0.7971 0.2153
```

Results
Its symmetry is No. 123. As for the total magnetization: 0.00 μB per cell. For the formation energy, the calculation gives -77 meV per atom. The calculation puts the energy at -97.18 eV per cell.


(4)
DFT (GGA-PBE) results for a geometry-optimized Tm6CdHg6 structure.

extended XYZ file:
```
13
Lattice="6.1823 -0.0004 0.0000 -3.0908 5.3543 0.0000 0.0000 0.0000 10.3467" Properties=species:S:1:pos:R:3 pbc="T T T"
Tm 0.0000 0.0000 3.4117
Tm 3.0914 1.7845 0.0000
Tm 3.0913 1.7845 5.1733
Hg -1.5454 2.6771 7.7816
Cd 0.0000 0.0000 0.0000
Tm 0.0002 3.5694 0.0000
Hg 1.5458 2.6770 7.7815
Hg 3.0912 -0.0002 7.7816
Hg -1.5454 2.6771 2.5651
Tm 0.0000 0.0000 6.9350
Hg 3.0912 -0.0002 2.5651
Hg 1.5458 2.6770 2.5652
Tm 0.0002 3.5694 5.1733
```

Results
Its symmetry is No. 191. As for the total magnetization: 1.01 μB per cell. For the formation energy, the calculation gives -225 meV per atom. The calculation puts the energy at -32.48 eV per cell.


(5)
DFT (GGA-PBE) results for a geometry-optimized CePr2Ge4Pt3 structure.

extended XYZ file:
```
10
Lattice="4.3513 0.0000 0.0000 0.0000 4.3513 0.0000 0.0000 0.0000 11.4583" Properties=species:S:1:pos:R:3 pbc="T T T"
Pt 0.0000 0.0000 5.7292
Pt 2.1757 0.0000 10.1563
Ge 2.1757 0.0000 7.6691
Pr 0.0000 2.1757 8.8791
Ce 2.1757 2.1757 5.7292
Ge 2.1757 2.1757 0.0000
Ge 0.0000 0.0000 0.0000
Pr 2.1757 0.0000 2.5793
Ge 0.0000 2.1757 3.7893
Pt 0.0000 2.1757 1.3021
```

Results
Its symmetry is No. 115. As for the total magnetization: 0.48 μB per cell. For the formation energy, the calculation gives -844 meV per atom. The calculation puts the energy at -60.53 eV per cell.


(6)
DFT (GGA-PBE) results for a geometry-optimized TaVTcSe2 structure.

extended XYZ file:
```
5
Lattice="4.7716 0.0000 0.0000 0.0000 4.8443 0.0000 0.0000 0.0000 4.7716" Properties=species:S:1:pos:R:3 pbc="T T T"
V 2.3858 2.4222 2.3858
Se 0.0000 0.0000 2.3858
Ta 0.0000 2.4222 0.0000
Tc 0.0000 0.0000 0.0000
Se 2.3858 0.0000 0.0000
```

Results
Its formation energy from raw total energies is 1.2393 eV/atom. Its symmetry is No. 123. As for the total magnetization: 0.45 μB per cell. The calculation puts the energy at -32.11 eV per cell. Its polymorph energy (0 for the lowest one) is 266 meV/atom.


(7)
DFT (GGA-PBE) results for a geometry-optimized LiTe2Au structure.

extended XYZ file:
```
4
Lattice="3.7099 6.4312 5.4578 6.1281 6.3192 2.7252 3.1028 8.3371 2.4039" Properties=species:S:1:pos:R:3 pbc="T T T"
Te 11.6933 19.0547 9.5663
Li 6.4704 10.5437 5.2934
Te 1.2475 2.0328 1.0206
Au 0.0000 0.0000 0.0000
```

Results
Its formation energy from raw total energies is -0.1925 eV/atom. Its symmetry is No. 166. As for the total magnetization: 0.00 μB per cell. The calculation puts the energy at -12.24 eV per cell.


(8)
DFT (GGA-PBE) results for a geometry-optimized ZnSbN2O structure.

extended XYZ file:
```
5
Lattice="3.9470 0.0000 0.0000 0.0000 3.9470 0.0000 0.0000 0.0000 3.8988" Properties=species:S:1:pos:R:3 pbc="T T T"
N 0.0000 1.9735 0.0000
Zn 0.0000 0.0000 0.0000
Sb 1.9735 1.9735 1.9494
O 0.0000 0.0000 1.9494
N 1.9735 0.0000 0.0000
```

Results
Its formation energy from raw total energies is 1.0153 eV/atom. Its symmetry is No. 123. As for the total magnetization: 1.79 μB per cell. The calculation puts the energy at -21.93 eV per cell.